(one)
{
  "formula": "POsCl2",
  "functional": "meta-GGA SCAN",
  "state": "PBEsol geometry",
  "cell": [[-1.276, 2.079, 1.802], [-1.481, -0.745, -2.740], [-4.418, -6.254, 4.088]],
  "species": ["Os", "Cl", "P", "Cl"],
  "frac_coords": [[0.000, 0.000, 0.531], [0.500, 0.000, 0.306], [0.500, 0.000, 0.719], [0.000, 0.000, 0.944]],
  "rho_g_cm3": 6.5,
  "dos_ef_per_ev_atom": 0.178
}

---

(two)
{
  "formula": "POsCl2",
  "functional": "meta-GGA SCAN",
  "state": "PBEsol geometry",
  "cell": [[-1.103, 2.051, -1.638], [-2.624, -0.890, 0.654], [-0.124, 5.281, 6.694]],
  "species": ["Cl", "Cl", "Os", "P"],
  "frac_coords": [[0.000, 0.000, 0.189], [0.000, 0.000, 0.811], [0.500, 0.500, 0.000], [0.500, 0.500, 0.500]],
  "rho_g_cm3": 7.0,
  "dos_ef_per_ev_atom": 0.695
}

---

Which is the most stable structure? (one) is the most stable.

---

(one)
{
  "formula": "P2OsCl",
  "functional": "meta-GGA SCAN",
  "state": "PBEsol geometry",
  "cell": [[4.239, 0.019, 0.033], [-1.491, 3.969, -0.033], [-1.491, -1.914, 3.477]],
  "species": ["Cl", "Os", "P", "P"],
  "frac_coords": [[0.000, 0.500, 0.500], [0.000, 0.000, 0.000], [0.500, 0.500, 0.000], [0.500, 0.000, 0.500]],
  "rho_g_cm3": 8.1,
  "dos_ef_per_ev_atom": 0.677
}

---

(two)
{
  "formula": "P2OsCl",
  "functional": "meta-GGA SCAN",
  "state": "PBEsol geometry",
  "cell": [[-1.122, 2.646, 0.796], [-4.318, -1.521, -1.031], [1.609, -0.630, 4.364]],
  "species": ["Cl", "P", "Os", "P"],
  "frac_coords": [[0.500, 0.000, 0.000], [0.000, 0.000, 0.500], [0.500, 0.500, 0.500], [0.000, 0.500, 0.000]],
  "rho_g_cm3": 8.3,
  "dos_ef_per_ev_atom": 0.511
}

---

(three)
{
  "formula": "P2OsCl",
  "functional": "meta-GGA SCAN",
  "state": "PBEsol geometry",
  "cell": [[2.936, 0.000, 0.000], [0.000, 4.722, -0.127], [0.000, -2.235, 4.619]],
  "species": ["Os", "P", "P", "Cl"],
  "frac_coords": [[0.500, 0.500, 0.500], [0.000, 0.296, 0.091], [0.000, 0.704, 0.909], [0.500, 0.000, 0.500]],
  "rho_g_cm3": 7.6,
  "dos_ef_per_ev_atom": 0.336
}

---

Which is the most stable structure? (three) is the most stable.

---

(one)
{
  "formula": "OsPtCl2",
  "functional": "meta-GGA SCAN",
  "state": "PBEsol geometry",
  "cell": [[2.790, 0.000, 0.000], [-1.395, 2.571, 0.000], [0.000, 0.000, 9.017]],
  "species": ["Cl", "Cl", "Os", "Pt"],
  "frac_coords": [[0.000, 0.000, 0.286], [0.000, 0.000, 0.714], [0.500, 0.000, 0.500], [0.500, 0.000, 0.000]],
  "rho_g_cm3": 11.7,
  "dos_ef_per_ev_atom": 0.847
}

---

(two)
{
  "formula": "OsPtCl2",
  "functional": "meta-GGA SCAN",
  "state": "PBEsol geometry",
  "cell": [[2.879, 0.000, 0.000], [1.440, 2.494, 0.000], [1.440, 0.831, 8.747]],
  "species": ["Os", "Cl", "Cl", "Pt"],
  "frac_coords": [[0.500, 0.500, 0.500], [0.092, 0.092, 0.725], [0.908, 0.908, 0.275], [0.000, 0.000, 0.000]],
  "rho_g_cm3": 12.1,
  "dos_ef_per_ev_atom": 1.003
}

---

Which is the most stable structure? (one) is the most stable.

---

(one)
{
  "formula": "OsPtCl2",
  "functional": "meta-GGA SCAN",
  "state": "PBEsol geometry",
  "cell": [[2.740, 0.000, 0.000], [1.370, 2.373, 0.000], [1.370, 0.791, 10.946]],
  "species": ["Os", "Cl", "Cl", "Pt"],
  "frac_coords": [[0.000, 0.000, 0.000], [0.067, 0.067, 0.798], [0.933, 0.933, 0.202], [0.500, 0.500, 0.500]],
  "rho_g_cm3": 10.6,
  "dos_ef_per_ev_atom": 0.723
}

---

(two)
{
  "formula": "OsPtCl2",
  "functional": "meta-GGA SCAN",
  "state": "PBEsol geometry",
  "cell": [[2.877, 0.000, 0.000], [0.000, 2.877, 0.000], [0.000, 0.000, 7.489]],
  "species": ["Pt", "Cl", "Cl", "Os"],
  "frac_coords": [[0.500, 0.500, 0.500], [0.000, 0.000, 0.216], [0.000, 0.000, 0.784], [0.500, 0.500, 0.000]],
  "rho_g_cm3": 12.2,
  "dos_ef_per_ev_atom": 0.719
}

---

Which is the most stable structure? (one) is the most stable.

---

(one)
{
  "formula": "OsPtCl",
  "functional": "meta-GGA SCAN",
  "state": "PBEsol geometry",
  "cell": [[-1.212, -0.851, 3.792], [-0.960, -3.822, 1.020], [2.431, -2.115, 2.487]],
  "species": ["Pt", "Os", "Cl"],
  "frac_coords": [[0.500, 0.500, 0.500], [0.000, 0.000, 0.000], [0.250, 0.250, 0.250]],
  "rho_g_cm3": 14.6,
  "dos_ef_per_ev_atom": 1.150
}

---

(two)
{
  "formula": "OsPtCl",
  "functional": "meta-GGA SCAN",
  "state": "PBEsol geometry",
  "cell": [[-0.360, -1.931, 3.716], [3.314, -0.237, 2.575], [0.067, 2.247, 3.552]],
  "species": ["Pt", "Os", "Cl"],
  "frac_coords": [[0.000, 0.000, 0.000], [0.250, 0.250, 0.250], [0.500, 0.500, 0.500]],
  "rho_g_cm3": 13.3,
  "dos_ef_per_ev_atom": 1.136
}

---

Which is the most stable structure? (two) is the most stable.

---

(one)
{
  "formula": "TaOsCl2",
  "functional": "meta-GGA SCAN",
  "state": "PBEsol geometry",
  "cell": [[3.963, 0.000, 0.000], [0.000, 3.963, 0.000], [-1.981, -1.981, 4.033]],
  "species": ["Cl", "Cl", "Ta", "Os"],
  "frac_coords": [[0.250, 0.750, 0.500], [0.750, 0.250, 0.500], [0.000, 0.000, 0.000], [0.500, 0.500, 0.000]],
  "rho_g_cm3": 11.6,
  "dos_ef_per_ev_atom": 0.616
}

---

(two)
{
  "formula": "TaOsCl2",
  "functional": "meta-GGA SCAN",
  "state": "PBEsol geometry",
  "cell": [[-2.960, 0.381, 0.784], [0.845, -1.578, 3.960], [0.889, 4.015, 1.404]],
  "species": ["Cl", "Os", "Cl", "Ta"],
  "frac_coords": [[0.000, 0.000, 0.500], [0.500, 0.000, 0.000], [0.000, 0.500, 0.000], [0.500, 0.500, 0.500]],
  "rho_g_cm3": 12.6,
  "dos_ef_per_ev_atom": 0.937
}

---

(three)
{
  "formula": "TaOsCl2",
  "functional": "meta-GGA SCAN",
  "state": "PBEsol geometry",
  "cell": [[2.974, 0.000, 0.000], [1.487, 2.576, 0.000], [1.487, 0.859, 8.159]],
  "species": ["Os", "Cl", "Cl", "Ta"],
  "frac_coords": [[0.000, 0.000, 0.000], [0.092, 0.092, 0.723], [0.908, 0.908, 0.277], [0.500, 0.500, 0.500]],
  "rho_g_cm3": 11.7,
  "dos_ef_per_ev_atom": 0.618
}

---

Which is the most stable structure? (three) is the most stable.

---

(one)
{
  "formula": "TaOs2Cl",
  "functional": "meta-GGA SCAN",
  "state": "PBEsol geometry",
  "cell": [[-0.613, 2.605, 0.852], [-0.063, -0.887, 2.664], [8.450, 1.733, 0.777]],
  "species": ["Cl", "Os", "Os", "Ta"],
  "frac_coords": [[0.500, 0.500, 0.684], [0.000, 0.000, 0.064], [0.500, 0.500, 0.257], [0.000, 0.000, 0.495]],
  "rho_g_cm3": 14.5,
  "dos_ef_per_ev_atom": 0.395
}

---

(two)
{
  "formula": "TaOs2Cl",
  "functional": "meta-GGA SCAN",
  "state": "PBEsol geometry",
  "cell": [[2.948, 0.000, 0.000], [0.000, 4.591, 0.016], [0.000, -0.858, 4.510]],
  "species": ["Os", "Os", "Cl", "Ta"],
  "frac_coords": [[0.000, 0.000, 0.500], [0.000, 0.500, 0.000], [0.500, 0.500, 0.500], [0.500, 0.000, 0.000]],
  "rho_g_cm3": 16.2,
  "dos_ef_per_ev_atom": 0.816
}

---

(three)
{
  "formula": "TaOs2Cl",
  "functional": "meta-GGA SCAN",
  "state": "PBEsol geometry",
  "cell": [[-1.866, -0.460, -2.132], [1.202, -3.941, -0.202], [-2.671, -1.035, 4.306]],
  "species": ["Cl", "Ta", "Os", "Os"],
  "frac_coords": [[0.500, 0.500, 0.500], [0.500, 0.500, 0.000], [0.857, 0.000, 0.735], [0.143, 0.000, 0.265]],
  "rho_g_cm3": 16.7,
  "dos_ef_per_ev_atom": 0.708
}

---

Which is the most stable structure? (one) is the most stable.

---

(one)
{
  "formula": "Te2OsCl",
  "functional": "meta-GGA SCAN",
  "state": "PBEsol geometry",
  "cell": [[3.186, 0.000, 0.000], [0.000, 3.186, 0.000], [0.000, 0.000, 8.063]],
  "species": ["Cl", "Te", "Os", "Te"],
  "frac_coords": [[0.500, 0.500, 0.000], [0.000, 0.000, 0.714], [0.500, 0.500, 0.500], [0.000, 0.000, 0.286]],
  "rho_g_cm3": 9.8,
  "dos_ef_per_ev_atom": 0.676
}

---

(two)
{
  "formula": "Te2OsCl",
  "functional": "meta-GGA SCAN",
  "state": "PBEsol geometry",
  "cell": [[3.234, 0.000, 0.000], [0.000, 3.234, 0.000], [0.000, 0.000, 9.084]],
  "species": ["Te", "Os", "Cl", "Te"],
  "frac_coords": [[0.000, 0.000, 0.811], [0.500, 0.500, 0.959], [0.000, 0.000, 0.487], [0.500, 0.500, 0.243]],
  "rho_g_cm3": 8.4,
  "dos_ef_per_ev_atom": 0.807
}

---

(three)
{
  "formula": "Te2OsCl",
  "functional": "meta-GGA SCAN",
  "state": "PBEsol geometry",
  "cell": [[3.668, 0.000, 0.000], [0.000, 5.110, -0.137], [0.000, -2.384, 5.719]],
  "species": ["Te", "Te", "Cl", "Os"],
  "frac_coords": [[0.000, 0.081, 0.164], [0.500, 0.800, 0.599], [0.000, 0.387, 0.776], [0.500, 0.232, 0.461]],
  "rho_g_cm3": 7.5,
  "dos_ef_per_ev_atom": 0.726
}

---

Which is the most stable structure? (three) is the most stable.